No. 1
Density functional theory data (PBE-GGA) for a relaxed structure of La6SmYHo2.

Calculated formation energy in meV per atom: 104

CIF file:
```
data_La6SmYHo2
_cell_length_a 9.2965
_cell_length_b 15.5243
_cell_length_c 9.8790
_cell_angle_alpha 90.00
_cell_angle_beta 98.69
_cell_angle_gamma 90.00
_symmetry_space_group_name_H-M 'C 1 2/c 1'
_symmetry_Int_Tables_number 15
_symmetry_space_group_name_Hall '-C 2yc'
loop_
_atom_site_label
_atom_site_type_symbol
_atom_site_fract_x
_atom_site_fract_y
_atom_site_fract_z
La1 La 0.0662 0.1751 0.4490
La2 La 0.0996 0.3945 0.6215
La3 La 0.2156 0.2233 0.8088
Sm1 Sm 0.0000 0.4095 0.2500
Y1 Y 0.0000 0.0257 0.7500
Ho1 Ho 0.2430 0.0478 0.0451
```

=====

No. 2
Density functional theory data (PBE-GGA) for a relaxed structure of Ba2MgZr.

Calculated formation energy in meV per atom: 514

CIF file:
```
data_Ba2MgZr
_cell_length_a 5.5138
_cell_length_b 5.5138
_cell_length_c 9.5961
_cell_angle_alpha 90.00
_cell_angle_beta 90.00
_cell_angle_gamma 90.00
_symmetry_space_group_name_H-M 'I -4 m 2'
_symmetry_Int_Tables_number 119
_symmetry_space_group_name_Hall 'I -4 -2'
loop_
_atom_site_label
_atom_site_type_symbol
_atom_site_fract_x
_atom_site_fract_y
_atom_site_fract_z
Ba1 Ba 0.0000 0.0000 0.0000
Ba2 Ba 0.0000 0.5000 0.2500
Mg1 Mg 0.0000 0.5000 0.7500
Zr1 Zr 0.0000 0.0000 0.5000
```

=====

No. 3
Density functional theory data (PBE-GGA) for a relaxed structure of ZrGaRh2Br.

Uncorrected formation energy in eV per atom: 0.556

CIF file:
```
data_ZrGaRh2Br
_cell_length_a 4.5960
_cell_length_b 4.5960
_cell_length_c 4.9655
_cell_angle_alpha 90.00
_cell_angle_beta 90.00
_cell_angle_gamma 90.00
_symmetry_space_group_name_H-M 'P 4/m m m'
_symmetry_Int_Tables_number 123
_symmetry_space_group_name_Hall '-P 4 2'
loop_
_atom_site_label
_atom_site_type_symbol
_atom_site_fract_x
_atom_site_fract_y
_atom_site_fract_z
Zr1 Zr 0.0000 0.0000 0.0000
Ga1 Ga 0.5000 0.5000 0.0000
Rh1 Rh 0.0000 0.5000 0.5000
Br1 Br 0.0000 0.0000 0.5000
```

=====

No. 4
Density functional theory data (PBE-GGA) for a relaxed structure of SrTaIO2.

E above lowest polymorph in meV per atom: 0.0
Uncorrected formation energy in eV per atom: -1.431

CIF file:
```
data_SrTaIO2
_cell_length_a 4.1947
_cell_length_b 4.1947
_cell_length_c 5.7200
_cell_angle_alpha 90.00
_cell_angle_beta 90.00
_cell_angle_gamma 90.00
_symmetry_space_group_name_H-M 'P 4/m m m'
_symmetry_Int_Tables_number 123
_symmetry_space_group_name_Hall '-P 4 2'
loop_
_atom_site_label
_atom_site_type_symbol
_atom_site_fract_x
_atom_site_fract_y
_atom_site_fract_z
Sr1 Sr 0.0000 0.0000 0.0000
Ta1 Ta 0.5000 0.5000 0.5000
I1 I 0.5000 0.5000 0.0000
O1 O 0.0000 0.5000 0.5000
```

=====

No. 5
Density functional theory data (PBE-GGA) for a relaxed structure of PrSmScSe3.

Uncorrected formation energy in eV per atom: -1.594

CIF file:
```
data_PrSmScSe3
_cell_length_a 8.5523
_cell_length_b 4.1133
_cell_length_c 9.3117
_cell_angle_alpha 90.00
_cell_angle_beta 103.78
_cell_angle_gamma 90.00
_symmetry_space_group_name_H-M 'P 1 21/m 1'
_symmetry_Int_Tables_number 11
_symmetry_space_group_name_Hall '-P 2yb'
loop_
_atom_site_label
_atom_site_type_symbol
_atom_site_fract_x
_atom_site_fract_y
_atom_site_fract_z
Pr1 Pr 0.1783 0.2500 0.2175
Sm1 Sm 0.3481 0.7500 0.8557
Sc1 Sc 0.1012 0.2500 0.5985
Se1 Se 0.0997 0.2500 0.8812
Se2 Se 0.2335 0.7500 0.4917
Se3 Se 0.4251 0.7500 0.1825
```

=====

No. 6
Density functional theory data (PBE-GGA) for a relaxed structure of LaVCr3.

E above lowest polymorph in meV per atom: 1294.6
Calculated formation energy in meV per atom: 2031

CIF file:
```
data_LaVCr3
_cell_length_a 4.5865
_cell_length_b 4.5865
_cell_length_c 4.5865
_cell_angle_alpha 90.00
_cell_angle_beta 90.00
_cell_angle_gamma 90.00
_symmetry_space_group_name_H-M 'P m -3 m'
_symmetry_Int_Tables_number 221
_symmetry_space_group_name_Hall '-P 4 2 3'
loop_
_atom_site_label
_atom_site_type_symbol
_atom_site_fract_x
_atom_site_fract_y
_atom_site_fract_z
La1 La 0.0000 0.0000 0.0000
V1 V 0.5000 0.5000 0.5000
Cr1 Cr 0.0000 0.0000 0.5000
```

=====

No. 7
Density functional theory data (PBE-GGA) for a relaxed structure of Sr2GaBPt6.

Calculated formation energy in meV per atom: -727

CIF file:
```
data_Sr2GaBPt6
_cell_length_a 5.8447
_cell_length_b 5.8447
_cell_length_c 19.2552
_cell_angle_alpha 90.00
_cell_angle_beta 90.00
_cell_angle_gamma 120.00
_symmetry_space_group_name_H-M 'R -3 m'
_symmetry_Int_Tables_number 166
_symmetry_space_group_name_Hall '-R 3 2"'
loop_
_atom_site_label
_atom_site_type_symbol
_atom_site_fract_x
_atom_site_fract_y
_atom_site_fract_z
Sr1 Sr 0.0000 0.0000 0.2134
Ga1 Ga 0.0000 0.0000 0.5000
B1 B 0.0000 0.0000 0.0000
Pt1 Pt 0.0197 0.5098 0.2732
```

=====

No. 8
Density functional theory data (PBE-GGA) for a relaxed structure of LiYP2.

E above lowest polymorph in meV per atom: 0.0
Calculated formation energy in meV per atom: -871

CIF file:
```
data_LiYP2
_cell_length_a 9.8835
_cell_length_b 3.9449
_cell_length_c 4.1403
_cell_angle_alpha 90.00
_cell_angle_beta 102.17
_cell_angle_gamma 90.00
_symmetry_space_group_name_H-M 'C 1 m 1'
_symmetry_Int_Tables_number 8
_symmetry_space_group_name_Hall 'C -2y'
loop_
_atom_site_label
_atom_site_type_symbol
_atom_site_fract_x
_atom_site_fract_y
_atom_site_fract_z
Li1 Li 0.0000 0.0000 0.0000
Y1 Y 0.2616 0.0000 0.5856
P1 P 0.0585 0.5000 0.6602
P2 P 0.2519 0.5000 0.0635
```

=====

no.,total DFT energy (no corrections) (eV per cell),M_tot (μB per formula unit),V (Å³/cell)
1,-195.455,0.0,1409
2,-23.864,2.4,292
3,-25.172,0.0,105
4,-32.158,0.1,101
5,-71.698,0.5,318
6,-32.764,3.3,96
7,-169.739,0.0,569
8,-45.365,0.0,158